# 1
VASP calculation (PBE-GGA) on a relaxed structure of ThBe13.

Geometry as extended XYZ:
```
28
Lattice="7.309 0.000 0.000 3.655 6.330 0.000 3.655 2.110 5.968" Properties=species:S:1:pos:R:3 pbc="T T T"
Be 10.514 3.326 4.249
Be 6.032 4.002 1.265
Be 9.686 6.548 1.719
Be 6.481 5.217 4.703
Be 8.137 3.223 1.265
Be 6.481 2.267 2.617
Be 8.858 2.370 5.601
Be 6.032 5.914 2.617
Be 0.000 0.000 0.000
Be 8.587 2.526 3.351
Be 6.481 7.443 4.249
Be 7.759 5.436 1.265
Th 10.964 6.330 4.476
Th 3.655 2.110 1.492
Be 9.415 4.480 2.617
Be 9.686 4.636 0.367
Be 4.932 3.804 5.601
Be 4.932 1.892 4.249
Be 8.137 6.173 3.351
Be 6.481 1.953 0.367
Be 5.760 6.070 0.367
Be 7.309 4.220 2.984
Be 4.105 5.114 1.719
Be 5.204 3.960 3.351
Be 8.137 0.997 1.719
Be 8.587 4.438 4.703
Be 8.137 6.487 5.601
Be 6.859 3.004 4.703
```

Properties
**Formation energy**: -0.1771 eV per atom
**Space group**: Fm-3c (226)
**M_tot**: 0.00 μB per cell
**Fermi-level density of states**: 2.3 states/eV/f.u.
**Energy**: -4.167 eV per atom

***

# 2
VASP calculation (PBE-GGA) on a relaxed structure of BeCo2Mo.

Geometry as extended XYZ:
```
4
Lattice="4.246 -0.052 0.000 -0.929 4.143 0.000 0.000 0.000 2.627" Properties=species:S:1:pos:R:3 pbc="T T T"
Be -0.464 2.072 1.313
Co 1.659 2.045 0.000
Co 0.000 0.000 0.000
Mo 2.123 -0.026 1.313
```

Properties
**Formation energy**: 0.0877 eV per atom
**Space group**: Cmmm (65)
**M_tot**: 0.00 μB per cell
**Fermi-level density of states**: 3.5 states/eV/f.u.
**Energy**: -7.105 eV per atom

***

# 3
VASP calculation (PBE-GGA) on a relaxed structure of RbNaInSn.

Geometry as extended XYZ:
```
4
Lattice="-4.583 -0.734 2.044 4.179 -1.078 2.663 1.733 7.397 0.277" Properties=species:S:1:pos:R:3 pbc="T T T"
Rb -0.761 3.066 1.115
Sn -2.450 -0.596 2.280
Na 0.530 4.693 4.571
In 0.477 -0.012 2.756
```

Properties
**Formation energy**: -0.1140 eV per atom
**Space group**: Cm (8)
**M_tot**: 0.00 μB per cell
**Fermi-level density of states**: 2.3 states/eV/f.u.
**Offset from the most stable computed form**: 0 meV per atom
**Energy**: -2.371 eV per atom

***

# 4
VASP calculation (PBE-GGA) on a relaxed structure of NdScZn2Pt2.

Geometry as extended XYZ:
```
6
Lattice="4.460 0.000 0.000 -2.230 3.862 0.000 0.000 0.000 6.773" Properties=species:S:1:pos:R:3 pbc="T T T"
Zn 2.230 1.287 4.787
Nd 0.000 0.000 0.000
Sc 0.000 0.000 3.387
Zn 0.000 2.575 1.986
Pt 2.230 1.287 1.962
Pt 0.000 2.575 4.811
```

Properties
**Formation energy**: -0.8715 eV per atom
**Space group**: P-3m1 (164)
**M_tot**: 0.00 μB per cell
**Fermi-level density of states**: 5.0 states/eV/f.u.
**Energy**: -5.160 eV per atom